(1)
PrNd2Tm3 | PBE-GGA | optimized geometry

The space group is C2/c (No. 15) and the conventional cell measures 9.004, 9.866 and 9.024 Å, with angles of 90.00, 101.73 and 90.00 degrees. The distinct sites, in fractional coordinates, are Pr at (0.000, 0.085, 0.250), Nd at (0.123, 0.254, 0.626), Tm at (0.000, 0.419, 0.250) and Tm at (0.250, 0.084, 0.999).

(2)
Pr6NdTm5 | PBE-GGA | optimized geometry

The space group is Immm (No. 71) and the conventional cell measures 5.157, 10.080 and 15.434 Å, with angles of 90.00, 90.00 and 90.00 degrees. The distinct sites, in fractional coordinates, are Pr at (0.000, 0.247, 0.000), Pr at (0.000, 0.252, 0.333), Nd at (0.000, 0.000, 0.500), Tm at (0.000, 0.000, 0.167), Tm at (0.000, 0.500, 0.168) and Tm at (0.000, 0.500, 0.500).

Number 1: uncorrected energy -109.23 eV per cell. Number 2: uncorrected energy -111.14 eV per cell.